#one
Here is a relaxed CdSe3N crystal from the Alexandria database. Energies are from PBE-GGA.

It has space group Pm-3m (No. 221), with a = 5.327 Å, b = 5.327 Å, c = 5.327 Å, α = 90.00°, β = 90.00° and γ = 90.00°. The distinct sites, in fractional coordinates, are Cd at (0.000, 0.000, 0.000), Se at (0.000, 0.000, 0.500) and N at (0.500, 0.500, 0.500).

#two
Here is a relaxed CdSe3N crystal from the Alexandria database. Energies are from PBE-GGA.

It has space group Pm-3m (No. 221), with a = 4.517 Å, b = 4.517 Å, c = 4.517 Å, α = 90.00°, β = 90.00° and γ = 90.00°. The distinct sites, in fractional coordinates, are Cd at (0.000, 0.000, 0.000), Se at (0.000, 0.500, 0.500) and N at (0.500, 0.500, 0.500).

In terms of stability, #two leads; the second structure lies 82.3 kJ/mol of atoms higher.

#one
Here is a relaxed Cd3SeN crystal from the Alexandria database. Energies are from PBE-GGA.

It has space group Pm-3m (No. 221), with a = 4.662 Å, b = 4.662 Å, c = 4.662 Å, α = 90.00°, β = 90.00° and γ = 90.00°. The distinct sites, in fractional coordinates, are Cd at (0.000, 0.000, 0.500), Se at (0.500, 0.500, 0.500) and N at (0.000, 0.000, 0.000).

#two
Here is a relaxed Cd3SeN crystal from the Alexandria database. Energies are from PBE-GGA.

It has space group Pm-3m (No. 221), with a = 5.299 Å, b = 5.299 Å, c = 5.299 Å, α = 90.00°, β = 90.00° and γ = 90.00°. The distinct sites, in fractional coordinates, are Cd at (0.000, 0.000, 0.500), Se at (0.000, 0.000, 0.000) and N at (0.500, 0.500, 0.500).

In terms of stability, #one leads; the second structure lies 111.9 kJ/mol of atoms higher.

#one
Here is a relaxed CdSiSe2N crystal from the Alexandria database. Energies are from PBE-GGA.

It has space group P4/mmm (No. 123), with a = 5.289 Å, b = 5.289 Å, c = 3.280 Å, α = 90.00°, β = 90.00° and γ = 90.00°. The distinct sites, in fractional coordinates, are Cd at (0.000, 0.000, 0.000), Si at (0.500, 0.500, 0.500), Se at (0.000, 0.500, 0.500) and N at (0.500, 0.500, 0.000).

#two
Here is a relaxed CdSiSe2N crystal from the Alexandria database. Energies are from PBE-GGA.

It has space group P4/mmm (No. 123), with a = 5.303 Å, b = 5.303 Å, c = 4.164 Å, α = 90.00°, β = 90.00° and γ = 90.00°. The distinct sites, in fractional coordinates, are Cd at (0.000, 0.000, 0.000), Si at (0.500, 0.500, 0.500), Se at (0.000, 0.500, 0.000) and N at (0.000, 0.000, 0.500).

In terms of stability, #one leads; the second structure lies 109.9 kJ/mol of atoms higher.